## 1
The following is a PBE calculation of NbTlZn after structural relaxation, from the Open Quantum Materials Database.

```
NbTlZn
1.0
-1.693 -4.250 -0.505
-0.877 -2.584 3.707
-4.352 -0.902 1.200
Nb Tl Zn
1 1 1
direct
0.000 0.000 0.000 Nb
0.250 0.250 0.250 Tl
0.750 0.750 0.750 Zn
```

Properties
- Volume: 69.0 Å³/f.u.

## 2
The following is a PBE calculation of NbTlZn after structural relaxation, from the Open Quantum Materials Database.

```
NbTlZn
1.0
0.000 3.242 3.242
3.242 0.000 3.242
3.242 3.242 0.000
Nb Tl Zn
1 1 1
direct
0.250 0.250 0.250 Nb
0.000 0.000 0.000 Tl
0.750 0.750 0.750 Zn
```

Properties
- Volume: 68.1 Å³/f.u.

Ranking the structures above by stability puts 1 first and 2 last.